1.
Here is a relaxed structure of LaPm3YEr from the Alexandria database. Energies are from PBE.

Calculated values
V = 406.9 Å³/cell
space-group type = P2_1/m, No. 11

a = 8.097 Å, b = 5.156 Å, c = 10.286 Å
α = 90.00°, β = 108.61°, γ = 90.00°
Positions (direct):
La: 0.169 0.250 0.293
La: 0.831 0.750 0.707
Pm: 0.168 0.250 0.791
Pm: 0.169 0.750 0.042
Pm: 0.171 0.750 0.543
Pm: 0.829 0.250 0.457
Pm: 0.831 0.250 0.958
Pm: 0.832 0.750 0.209
Y: 0.498 0.750 0.875
Y: 0.502 0.250 0.125
Er: 0.500 0.250 0.626
Er: 0.500 0.750 0.374

2.
Here is a relaxed structure of La2Pm6Y3Er from the Alexandria database. Energies are from PBE.

Calculated values
V = 407.8 Å³/cell
space-group type = C2/m, No. 12

a = 6.305 Å, b = 6.305 Å, c = 12.035 Å
α = 95.02°, β = 95.02°, γ = 120.03°
Positions (direct):
La: 0.166 0.834 0.000
La: 0.834 0.166 0.000
Pm: 0.084 0.416 0.747
Pm: 0.253 0.253 0.253
Pm: 0.416 0.084 0.747
Pm: 0.584 0.916 0.253
Pm: 0.747 0.747 0.747
Pm: 0.916 0.584 0.253
Y: 0.000 0.000 0.500
Y: 0.334 0.666 0.500
Y: 0.666 0.334 0.500
Er: 0.500 0.500 0.000

3.
Here is a relaxed structure of LaPm6Y2Er from the Alexandria database. Energies are from PBE.

Calculated values
V = 685.9 Å³/cell
space-group type = C2/c, No. 15

a = 8.964 Å, b = 8.964 Å, c = 9.675 Å
α = 93.77°, β = 93.77°, γ = 117.22°
Positions (direct):
La: 0.094 0.906 0.750
La: 0.906 0.094 0.250
Pm: 0.014 0.794 0.381
Pm: 0.066 0.519 0.183
Pm: 0.206 0.986 0.119
Pm: 0.261 0.611 0.557
Pm: 0.389 0.739 0.943
Pm: 0.481 0.934 0.317
Pm: 0.519 0.066 0.683
Pm: 0.611 0.261 0.057
Pm: 0.739 0.389 0.443
Pm: 0.794 0.014 0.881
Pm: 0.934 0.481 0.817
Pm: 0.986 0.206 0.619
Y: 0.209 0.305 0.953
Y: 0.305 0.209 0.453
Y: 0.695 0.791 0.547
Y: 0.791 0.695 0.047
Er: 0.467 0.533 0.250
Er: 0.533 0.467 0.750

4.
Here is a relaxed structure of La2Pm3Y6Er from the Alexandria database. Energies are from PBE.

Calculated values
V = 399.4 Å³/cell
space-group type = C2/m, No. 12

a = 6.270 Å, b = 6.270 Å, c = 11.911 Å
α = 95.02°, β = 95.02°, γ = 119.99°
Positions (direct):
La: 0.166 0.834 0.000
La: 0.834 0.166 0.000
Pm: 0.000 0.000 0.500
Pm: 0.333 0.667 0.500
Pm: 0.667 0.333 0.500
Y: 0.084 0.416 0.749
Y: 0.252 0.252 0.251
Y: 0.416 0.084 0.749
Y: 0.584 0.916 0.251
Y: 0.748 0.748 0.749
Y: 0.916 0.584 0.251
Er: 0.500 0.500 0.000

5.
Here is a relaxed structure of LaPm4Y2Er2 from the Alexandria database. Energies are from PBE.

Calculated values
V = 299.9 Å³/cell
space-group type = C2/m, No. 12

a = 8.077 Å, b = 8.077 Å, c = 8.074 Å
α = 107.23°, β = 107.23°, γ = 36.81°
Positions (direct):
La: 0.000 0.000 0.000
Pm: 0.223 0.223 0.331
Pm: 0.444 0.444 0.667
Pm: 0.556 0.556 0.333
Pm: 0.777 0.777 0.669
Y: 0.112 0.112 0.666
Y: 0.888 0.888 0.334
Er: 0.331 0.331 0.001
Er: 0.669 0.669 0.999

6.
Here is a relaxed structure of La2PmYEr5 from the Alexandria database. Energies are from PBE.

Calculated values
V = 589.8 Å³/cell
space-group type = I4/mcm, No. 140

a = 9.962 Å, b = 9.962 Å, c = 9.962 Å
α = 128.44°, β = 128.44°, γ = 75.91°
Positions (direct):
La: 0.117 0.617 0.735
La: 0.383 0.117 0.500
La: 0.617 0.883 0.500
La: 0.883 0.383 0.265
Pm: 0.250 0.250 0.000
Pm: 0.750 0.750 0.000
Y: 0.250 0.750 0.500
Y: 0.750 0.250 0.500
Er: 0.000 0.000 0.000
Er: 0.075 0.143 0.500
Er: 0.143 0.643 0.068
Er: 0.357 0.425 0.500
Er: 0.425 0.925 0.068
Er: 0.500 0.500 0.000
Er: 0.575 0.075 0.932
Er: 0.643 0.575 0.500
Er: 0.857 0.357 0.932
Er: 0.925 0.857 0.500

7.
Here is a relaxed structure of La2PmY6Er from the Alexandria database. Energies are from PBE.

Calculated values
V = 675.7 Å³/cell
space-group type = C2/c, No. 15

a = 9.350 Å, b = 9.350 Å, c = 8.892 Å
α = 90.80°, β = 90.80°, γ = 119.58°
Positions (direct):
La: 0.182 0.299 0.444
La: 0.299 0.182 0.944
La: 0.701 0.818 0.056
La: 0.818 0.701 0.556
Pm: 0.467 0.533 0.750
Pm: 0.533 0.467 0.250
Y: 0.024 0.762 0.908
Y: 0.043 0.461 0.705
Y: 0.238 0.976 0.592
Y: 0.286 0.635 0.053
Y: 0.365 0.714 0.447
Y: 0.461 0.043 0.205
Y: 0.539 0.957 0.795
Y: 0.635 0.286 0.553
Y: 0.714 0.365 0.947
Y: 0.762 0.024 0.408
Y: 0.957 0.539 0.295
Y: 0.976 0.238 0.092
Er: 0.058 0.942 0.250
Er: 0.942 0.058 0.750

8.
Here is a relaxed structure of LaPm3Y6Er2 from the Alexandria database. Energies are from PBE.

Calculated values
V = 393.7 Å³/cell
space-group type = C2/m, No. 12

a = 6.230 Å, b = 6.230 Å, c = 11.893 Å
α = 94.99°, β = 94.99°, γ = 119.98°
Positions (direct):
La: 0.000 0.000 0.000
Pm: 0.167 0.833 0.500
Pm: 0.500 0.500 0.500
Pm: 0.833 0.167 0.500
Y: 0.083 0.418 0.249
Y: 0.251 0.251 0.751
Y: 0.418 0.083 0.249
Y: 0.582 0.917 0.751
Y: 0.749 0.749 0.249
Y: 0.917 0.582 0.751
Er: 0.333 0.667 0.000
Er: 0.667 0.333 0.000

9.
Here is a relaxed structure of La2Pm5YEr from the Alexandria database. Energies are from PBE.

Calculated values
V = 629.3 Å³/cell
space-group type = Cmc2_1, No. 36

a = 10.569 Å, b = 10.569 Å, c = 10.801 Å
α = 90.00°, β = 90.00°, γ = 148.56°
Positions (direct):
La: 0.114 0.886 0.500
La: 0.117 0.883 0.082
La: 0.883 0.117 0.582
La: 0.886 0.114 0.000
Pm: 0.015 0.985 0.786
Pm: 0.278 0.722 0.078
Pm: 0.296 0.704 0.471
Pm: 0.384 0.616 0.787
Pm: 0.482 0.518 0.509
Pm: 0.518 0.482 0.009
Pm: 0.616 0.384 0.287
Pm: 0.704 0.296 0.971
Pm: 0.722 0.278 0.578
Pm: 0.985 0.015 0.286
Y: 0.407 0.593 0.230
Y: 0.593 0.407 0.730
Er: 0.201 0.799 0.777
Er: 0.799 0.201 0.277

10.
Here is a relaxed structure of La2Pm2YEr2 from the Alexandria database. Energies are from PBE.

Calculated values
V = 237.1 Å³/cell
space-group type = C2/m, No. 12

a = 6.863 Å, b = 6.863 Å, c = 6.546 Å
α = 97.38°, β = 97.38°, γ = 50.98°
Positions (direct):
La: 0.136 0.136 0.017
La: 0.864 0.864 0.983
Pm: 0.308 0.308 0.637
Pm: 0.692 0.692 0.363
Y: 0.000 0.000 0.500
Er: 0.423 0.423 0.201
Er: 0.577 0.577 0.799

11.
Here is a relaxed structure of LaPmY3Er from the Alexandria database. Energies are from PBE.

Calculated values
V = 400.2 Å³/cell
space-group type = Cmcm, No. 63

a = 6.414 Å, b = 6.414 Å, c = 11.851 Å
α = 90.00°, β = 90.00°, γ = 124.83°
Positions (direct):
La: 0.168 0.832 0.750
La: 0.832 0.168 0.250
Pm: 0.000 0.000 0.000
Pm: 0.000 0.000 0.500
Y: 0.161 0.839 0.250
Y: 0.335 0.665 0.008
Y: 0.335 0.665 0.492
Y: 0.665 0.335 0.508
Y: 0.665 0.335 0.992
Y: 0.839 0.161 0.750
Er: 0.488 0.512 0.750
Er: 0.512 0.488 0.250

12.
Here is a relaxed structure of LaPm2YEr2 from the Alexandria database. Energies are from PBE.

Calculated values
V = 397.0 Å³/cell
space-group type = Pnnm, No. 58

a = 7.054 Å, b = 9.906 Å, c = 5.682 Å
α = 90.00°, β = 90.00°, γ = 90.00°
Positions (direct):
La: 0.000 0.000 0.000
La: 0.500 0.500 0.500
Pm: 0.247 0.333 0.000
Pm: 0.253 0.833 0.500
Pm: 0.747 0.167 0.500
Pm: 0.753 0.667 0.000
Y: 0.000 0.500 0.500
Y: 0.500 0.000 0.000
Er: 0.249 0.667 0.000
Er: 0.251 0.167 0.500
Er: 0.749 0.833 0.500
Er: 0.751 0.333 0.000

| no. | magnetic moment (μB/f.u.) | energy of formation from the pure elements (eV/f.u.) |
| --- | --- | --- |
| 1 | 0.00 | 0.2 |
| 2 | 0.00 | 0.2 |
| 3 | 0.00 | 1.2 |
| 4 | 0.00 | 0.2 |
| 5 | 0.00 | 0.2 |
| 6 | 0.00 | 2.3 |
| 7 | 0.00 | 1.3 |
| 8 | 0.00 | 0.2 |
| 9 | 0.00 | 1.2 |
| 10 | 0.00 | 0.7 |
| 11 | 0.00 | 0.7 |
| 12 | 0.00 | 0.4 |